Tb2Ru2O7 after structural relaxation. Source: Alexandria via LeMat-Bulk, functional PBEsol.

```
data_Tb2Ru2O7
_chemical_formula_sum 'Tb4 Ru4 O14'
_cell_length_a 7.135
_cell_length_b 7.135
_cell_length_c 7.135
_cell_angle_alpha 60.00
_cell_angle_beta 60.00
_cell_angle_gamma 60.00
_space_group_name_H-M_alt 'P 1'
_space_group_IT_number 1
loop_
_space_group_symop_operation_xyz
'x,y,z'
loop_
_atom_site_label
_atom_site_type_symbol
_atom_site_fract_x
_atom_site_fract_y
_atom_site_fract_z
_atom_site_occupancy
O1 O 0.959 0.959 0.541 1
O2 O 0.541 0.959 0.959 1
O3 O 0.709 0.291 0.709 1
O4 O 0.541 0.541 0.959 1
O5 O 0.291 0.291 0.709 1
O6 O 0.959 0.541 0.959 1
O7 O 0.709 0.291 0.291 1
O8 O 0.709 0.709 0.291 1
O9 O 0.000 0.000 0.000 1
O10 O 0.291 0.709 0.709 1
O11 O 0.959 0.541 0.541 1
O12 O 0.541 0.959 0.541 1
O13 O 0.291 0.709 0.291 1
O14 O 0.250 0.250 0.250 1
Ru1 Ru 0.625 0.125 0.625 1
Ru2 Ru 0.625 0.625 0.125 1
Ru3 Ru 0.125 0.625 0.625 1
Ru4 Ru 0.625 0.625 0.625 1
Tb1 Tb 0.125 0.125 0.625 1
Tb2 Tb 0.625 0.125 0.125 1
Tb3 Tb 0.125 0.125 0.125 1
Tb4 Tb 0.125 0.625 0.125 1
```

Results
N(E_F) (states/eV per cell): 16.750

=====

Tb5Ru2O12 after structural relaxation. Source: Alexandria via LeMat-Bulk, functional PBEsol.

```
data_Tb5Ru2O12
_chemical_formula_sum 'Tb5 Ru2 O12'
_cell_length_a 5.606
_cell_length_b 6.852
_cell_length_c 7.224
_cell_angle_alpha 105.29
_cell_angle_beta 90.00
_cell_angle_gamma 114.15
_space_group_name_H-M_alt 'P 1'
_space_group_IT_number 1
loop_
_space_group_symop_operation_xyz
'x,y,z'
loop_
_atom_site_label
_atom_site_type_symbol
_atom_site_fract_x
_atom_site_fract_y
_atom_site_fract_z
_atom_site_occupancy
O1 O 0.905 0.306 0.075 1
O2 O 0.895 0.327 0.583 1
O3 O 0.499 0.999 0.711 1
O4 O 0.095 0.694 0.925 1
O5 O 0.501 0.001 0.289 1
O6 O 0.432 0.327 0.583 1
O7 O 0.401 0.306 0.075 1
O8 O 0.568 0.673 0.417 1
O9 O 0.000 0.000 0.327 1
O10 O 0.000 0.000 0.673 1
O11 O 0.105 0.673 0.417 1
O12 O 0.599 0.694 0.925 1
Tb1 Tb 0.700 0.399 0.861 1
Tb2 Tb 0.000 0.000 0.000 1
Tb3 Tb 0.304 0.607 0.666 1
Tb4 Tb 0.300 0.601 0.139 1
Tb5 Tb 0.696 0.393 0.334 1
Ru1 Ru 0.726 0.000 0.500 1
Ru2 Ru 0.274 0.000 0.500 1
```

Results
N(E_F) (states/eV per cell): 6.160

=====

Tb3RuO7 after structural relaxation. Source: Alexandria via LeMat-Bulk, functional PBEsol.

```
data_Tb3RuO7
_chemical_formula_sum 'Tb6 Ru2 O14'
_cell_length_a 6.346
_cell_length_b 6.346
_cell_length_c 7.316
_cell_angle_alpha 90.00
_cell_angle_beta 90.00
_cell_angle_gamma 110.96
_space_group_name_H-M_alt 'P 1'
_space_group_IT_number 1
loop_
_space_group_symop_operation_xyz
'x,y,z'
loop_
_atom_site_label
_atom_site_type_symbol
_atom_site_fract_x
_atom_site_fract_y
_atom_site_fract_z
_atom_site_occupancy
O1 O 0.563 0.819 0.959 1
O2 O 0.842 0.107 0.250 1
O3 O 0.181 0.437 0.459 1
O4 O 0.590 0.590 0.250 1
O5 O 0.107 0.842 0.250 1
O6 O 0.437 0.181 0.041 1
O7 O 0.819 0.563 0.541 1
O8 O 0.410 0.410 0.750 1
O9 O 0.563 0.819 0.541 1
O10 O 0.158 0.893 0.750 1
O11 O 0.893 0.158 0.750 1
O12 O 0.819 0.563 0.959 1
O13 O 0.437 0.181 0.459 1
O14 O 0.181 0.437 0.041 1
Tb1 Tb 0.000 0.000 0.500 1
Tb2 Tb 0.000 0.000 0.000 1
Tb3 Tb 0.079 0.524 0.750 1
Tb4 Tb 0.476 0.921 0.250 1
Tb5 Tb 0.524 0.079 0.750 1
Tb6 Tb 0.921 0.476 0.250 1
Ru1 Ru 0.500 0.500 0.000 1
Ru2 Ru 0.500 0.500 0.500 1
```

Results
N(E_F) (states/eV per cell): 1.353

=====

TeRu2O after structural relaxation. Source: Alexandria via LeMat-Bulk, functional PBEsol.

```
data_TeRu2O
_chemical_formula_sum 'Te1 Ru2 O1'
_cell_length_a 4.254
_cell_length_b 4.254
_cell_length_c 4.254
_cell_angle_alpha 60.00
_cell_angle_beta 60.00
_cell_angle_gamma 60.00
_space_group_name_H-M_alt 'P 1'
_space_group_IT_number 1
loop_
_space_group_symop_operation_xyz
'x,y,z'
loop_
_atom_site_label
_atom_site_type_symbol
_atom_site_fract_x
_atom_site_fract_y
_atom_site_fract_z
_atom_site_occupancy
Ru1 Ru 0.250 0.250 0.250 1
Ru2 Ru 0.750 0.750 0.750 1
O1 O 0.000 0.000 0.000 1
Te1 Te 0.500 0.500 0.500 1
```

Results
N(E_F) (states/eV per cell): 3.322

=====

no.,magnetic moment (Bohr magnetons per cell),calculated density (g/cm3),E_form (uncorrected) (eV/f.u.)
1,1.318,8.17,-24.36
2,0.927,8.14,-52.36
3,6.025,8.33,-30.76
4,0.001,10.55,1.28